Here is crystalline Mg6NbFeO8 at its relaxed geometry from Alexandria via LeMat-Bulk. Energies are from PBE with a Hubbard U.

Lattice parameters (Å, degrees): 4.315 4.315 8.727 90.00 90.00 90.00
Sites, in units of the cell vectors:
Mg (0.000, 0.500, 0.255)
Mg (0.500, 0.000, 0.745)
Mg (0.500, 0.000, 0.255)
Mg (0.000, 0.000, 0.500)
Mg (0.000, 0.500, 0.745)
Mg (0.500, 0.500, 0.500)
Fe (0.000, 0.000, 0.000)
O (0.500, 0.500, 0.264)
O (0.500, 0.000, 0.000)
O (0.000, 0.000, 0.254)
O (0.000, 0.000, 0.746)
O (0.500, 0.500, 0.736)
O (0.000, 0.500, 0.500)
O (0.500, 0.000, 0.500)
O (0.000, 0.500, 0.000)
Nb (0.500, 0.500, 0.000)

## Properties
* total magnetization: 0.287 μB per atom
* energy: -6.302 eV per atom